Entry 1:
# Sr2CaCdF (PBE, optimized geometry)
data_Sr2CaCdF
_chemical_formula_sum 'Sr2 Ca1 Cd1 F1'
_symmetry_space_group_name_H-M 'P 4/m m m'
_symmetry_Int_Tables_number 123
_symmetry_space_group_name_Hall '-P 4 2'
_cell_length_a 5.6784
_cell_length_b 5.6784
_cell_length_c 4.6444
_cell_angle_alpha 90.00
_cell_angle_beta 90.00
_cell_angle_gamma 90.00
loop_
_atom_site_label
_atom_site_fract_x
_atom_site_fract_y
_atom_site_fract_z
Sr1 0.0000 0.5000 0.0000
Ca1 0.0000 0.0000 0.5000
Cd1 0.5000 0.5000 0.5000
F1 0.0000 0.0000 0.0000
# - Uncorrected energy: -2.7887 eV/atom
# - E_form (uncorrected): -1.158 eV per atom
# - Energy above the most stable polymorph in this dataset: 0.000 eV/atom

---

Entry 2:
# HgH3Se (PBE, optimized geometry)
data_HgH3Se
_chemical_formula_sum 'Hg1 H3 Se1'
_symmetry_space_group_name_H-M 'P m -3 m'
_symmetry_Int_Tables_number 221
_symmetry_space_group_name_Hall '-P 4 2 3'
_cell_length_a 3.9246
_cell_length_b 3.9246
_cell_length_c 3.9246
_cell_angle_alpha 90.00
_cell_angle_beta 90.00
_cell_angle_gamma 90.00
loop_
_atom_site_label
_atom_site_fract_x
_atom_site_fract_y
_atom_site_fract_z
Hg1 0.0000 0.0000 0.0000
H1 0.0000 0.5000 0.5000
Se1 0.5000 0.5000 0.5000
# - Uncorrected energy: -2.2232 eV/atom
# - Energy above the most stable polymorph in this dataset: 0.000 eV/atom

---

Entry 3:
# MgZrCu2 (PBE, optimized geometry)
data_MgZrCu2
_chemical_formula_sum 'Mg2 Zr2 Cu4'
_symmetry_space_group_name_H-M 'I m m 2'
_symmetry_Int_Tables_number 44
_cell_length_a 2.8877
_cell_length_b 4.6592
_cell_length_c 10.0240
_cell_angle_alpha 90.00
_cell_angle_beta 90.00
_cell_angle_gamma 90.00
loop_
_symmetry_equiv_pos_as_xyz
'x,y,z'
'-x,-y,z'
'-x,y,z'
'x,-y,z'
'x+1/2,y+1/2,z+1/2'
'-x+1/2,-y+1/2,z+1/2'
'-x+1/2,y+1/2,z+1/2'
'x+1/2,-y+1/2,z+1/2'
loop_
_atom_site_label
_atom_site_fract_x
_atom_site_fract_y
_atom_site_fract_z
Mg1 0.0000 0.0000 0.0000
Zr1 0.0000 0.5000 0.2101
Cu1 0.0000 0.0000 0.4611
Cu2 0.0000 0.5000 0.7607
# - Energy of formation from the pure elements: -0.01 eV per atom
# - Uncorrected energy: -4.5948 eV/atom

---

Entry 4:
# Mo2PbAu (PBE, optimized geometry)
data_Mo2PbAu
_chemical_formula_sum 'Mo8 Pb4 Au4'
_symmetry_space_group_name_H-M 'F -4 3 m'
_symmetry_Int_Tables_number 216
_symmetry_space_group_name_Hall 'F -4 2 3'
_cell_length_a 6.6747
_cell_length_b 6.6747
_cell_length_c 6.6747
_cell_angle_alpha 90.00
_cell_angle_beta 90.00
_cell_angle_gamma 90.00
loop_
_atom_site_label
_atom_site_fract_x
_atom_site_fract_y
_atom_site_fract_z
Mo1 0.0000 0.0000 0.0000
Mo2 0.2500 0.2500 0.2500
Pb1 0.0000 0.0000 0.5000
Au1 0.2500 0.2500 0.7500
# - Energy of formation from the pure elements: 0.75 eV per atom
# - Uncorrected energy: -6.4071 eV/atom

---

Entry 5:
# Pm4GeP3 (PBE, optimized geometry)
data_Pm4GeP3
_chemical_formula_sum 'Pm4 Ge1 P3'
_symmetry_space_group_name_H-M 'P m -3 m'
_symmetry_Int_Tables_number 221
_symmetry_space_group_name_Hall '-P 4 2 3'
_cell_length_a 5.8849
_cell_length_b 5.8849
_cell_length_c 5.8849
_cell_angle_alpha 90.00
_cell_angle_beta 90.00
_cell_angle_gamma 90.00
loop_
_atom_site_label
_atom_site_fract_x
_atom_site_fract_y
_atom_site_fract_z
Pm1 0.0000 0.0000 0.0000
Pm2 0.0000 0.5000 0.5000
Ge1 0.5000 0.5000 0.5000
P1 0.0000 0.0000 0.5000
# - Energy of formation from the pure elements: -1.31 eV per atom
# - Uncorrected energy: -6.2953 eV/atom

---

Entry 6:
# HoS4Br (PBE, optimized geometry)
data_HoS4Br
_chemical_formula_sum 'Ho2 S8 Br2'
_symmetry_space_group_name_H-M 'P -1'
_symmetry_Int_Tables_number 2
_cell_length_a 4.8833
_cell_length_b 8.0290
_cell_length_c 9.5961
_cell_angle_alpha 90.92
_cell_angle_beta 99.23
_cell_angle_gamma 103.21
loop_
_symmetry_equiv_pos_as_xyz
'x,y,z'
'-x,-y,-z'
loop_
_atom_site_label
_atom_site_fract_x
_atom_site_fract_y
_atom_site_fract_z
Ho1 0.2408 0.3404 0.3039
S1 0.0277 0.4616 0.8947
S2 0.0281 0.6354 0.4580
S3 0.2911 0.6846 0.8412
S4 0.3776 0.3364 0.5994
Br1 0.2500 0.0141 0.2722
# - Uncorrected energy: -4.6094 eV/atom
# - E_form (uncorrected): -0.816 eV per atom